VASP calculation (PBE-GGA) on crystalline MnNbAs at its relaxed geometry.

Cell: 6.5346 7.4503 7.1529 Å, 61.31 90.00 116.01°
Last column: magnetic moment on the atom in μB.
Atoms (fractional coordinates):
Nb1 0.2469 0.4076 0.5462  -0.09
Nb2 0.8393 0.5924 0.4538  -0.09
Nb3 0.6540 0.0000 0.2500  -0.10
Nb4 0.6540 0.0000 0.7500  -0.10
Nb5 0.8393 0.5924 0.9538  -0.09
Nb6 0.2469 0.4076 0.0462  -0.09
As1 0.2464 0.0001 0.7500  -0.03
As2 0.2464 0.9999 0.2500  -0.03
As3 0.5802 0.6667 0.1667  -0.02
As4 0.9135 0.3333 0.8333  -0.02
As5 0.9135 0.3333 0.3333  -0.02
As6 0.5802 0.6667 0.6667  -0.02
Mn1 0.9932 0.0000 0.0000  1.62
Mn2 0.9932 0.0000 0.5000  1.62
Mn3 0.5000 0.2532 0.3733  1.64
Mn4 0.2468 0.7468 0.6267  1.64
Mn5 0.2468 0.7468 0.1266  1.64
Mn6 0.5000 0.2532 0.8734  1.64

Computed properties:
E: -25.112 eV/f.u.
SG: P-62m, No. 189
N(E_F): 10.70 states/eV/cell